Here is a relaxed CsAgAsS2 crystal from Alexandria via LeMat-Bulk. Energies are from GGA-PBE.

The structure in extended XYZ format:
```
10
Lattice="4.941 0.000 0.000 0.000 7.557 0.000 0.000 -3.778 8.089" Properties=species:S:1:pos:R:3 pbc="T T T"
Cs 4.115 0.000 4.044
Cs 0.826 3.778 4.044
As 2.471 5.668 0.000
As 2.471 1.889 0.000
S 1.764 0.000 6.415
S 3.178 3.778 1.674
S 1.764 0.000 1.674
S 3.178 3.779 6.415
Ag 0.000 0.000 0.000
Ag 0.000 3.778 0.000
```

SG   Cmme (67)

Here is a relaxed KLi2Tc crystal from Alexandria via LeMat-Bulk. Energies are from GGA-PBE.

The structure in extended XYZ format:
```
4
Lattice="2.667 0.000 0.000 0.000 4.429 0.000 0.000 0.000 7.287" Properties=species:S:1:pos:R:3 pbc="T T T"
K 1.334 2.214 5.465
Li 0.000 0.000 0.633
Li 0.000 0.000 3.010
Tc 1.334 2.214 1.822
```

Relative energy among the computed polymorphs   6 meV/atom
Energy relative to the elements   0.658 eV/atom
SG   Pmmm (47)

Here is a relaxed AcThNi10 crystal from Alexandria via LeMat-Bulk. Energies are from GGA-PBE.

The structure in extended XYZ format:
```
12
Lattice="-2.032 -3.419 0.336 4.318 -2.548 0.179 0.106 0.787 8.658" Properties=species:S:1:pos:R:3 pbc="T T T"
Ni 1.143 -2.984 0.257
Ni 2.284 -3.026 6.731
Ni 2.246 -0.625 7.225
Ni 2.177 -1.136 1.612
Ni 2.233 -3.408 2.530
Ni 0.070 0.519 5.712
Ni -0.963 -1.316 4.497
Ni 0.159 -1.772 6.643
Ni 0.107 -2.154 2.442
Ni 0.036 0.268 2.946
Th 2.212 -0.881 4.418
Ac 0.000 0.000 0.000
```

Energy relative to the elements   -0.310 eV/atom
SG   Pmmm (47)

Here is a relaxed BaPtS2N crystal from Alexandria via LeMat-Bulk. Energies are from GGA-PBE.

The structure in extended XYZ format:
```
5
Lattice="-3.152 4.900 0.133 -1.059 -0.527 -5.706 -3.791 -2.464 0.931" Properties=species:S:1:pos:R:3 pbc="T T T"
S -0.530 -0.264 -2.853
S -1.576 2.450 0.066
Pt -4.001 0.955 -2.321
Ba 0.000 0.000 0.000
N -1.896 -1.232 0.466
```

Relative energy among the computed polymorphs   2091 meV/atom
SG   P4/mmm (123)

Here is a relaxed Sr2SCl crystal from Alexandria via LeMat-Bulk. Energies are from GGA-PBE.

The structure in extended XYZ format:
```
4
Lattice="4.295 0.000 0.000 2.147 3.719 0.000 2.147 1.240 7.019" Properties=species:S:1:pos:R:3 pbc="T T T"
S 0.000 0.000 0.000
Cl 4.295 2.479 3.510
Sr 2.147 1.240 1.608
Sr 6.442 3.719 5.411
```

Relative energy among the computed polymorphs   0 meV/atom
SG   R-3m (166)

Here is a relaxed TbGd2O crystal from Alexandria via LeMat-Bulk. Energies are from GGA-PBE.

The structure in extended XYZ format:
```
4
Lattice="-0.647 0.767 -3.058 1.698 -2.545 -0.997 -7.327 -5.005 0.296" Properties=species:S:1:pos:R:3 pbc="T T T"
Tb -3.138 -3.392 -1.879
Gd -1.266 -0.864 0.051
Gd -6.062 -4.140 0.245
O 0.525 -0.889 -2.028
```

Relative energy among the computed polymorphs   438 meV/atom
SG   P4/mmm (123)

Here is a relaxed Sc2MnTe crystal from Alexandria via LeMat-Bulk. Energies are from GGA-PBE.

The structure in extended XYZ format:
```
8
Lattice="7.644 0.000 0.000 0.000 7.644 0.000 3.822 3.822 3.047" Properties=species:S:1:pos:R:3 pbc="T T T"
Sc 2.036 5.733 0.762
Sc 9.555 9.431 2.285
Sc 5.733 5.858 2.285
Sc 5.609 1.911 0.762
Te 0.000 0.000 0.000
Te 7.644 3.822 1.523
Mn 3.822 3.822 0.000
Mn 3.822 7.644 1.523
```

SG   I-42d (122)

Here is a relaxed Te4Ru2F crystal from Alexandria via LeMat-Bulk. Energies are from GGA-PBE.

The structure in extended XYZ format:
```
7
Lattice="-3.374 2.041 2.648 -2.413 -4.090 0.079 1.197 -3.304 8.333" Properties=species:S:1:pos:R:3 pbc="T T T"
Te -3.574 -3.282 6.496
Te -1.015 -2.071 4.563
Te -1.206 -2.045 0.039
Te -1.687 1.020 1.324
Ru -2.354 -3.962 8.575
Ru -2.235 -1.391 2.484
F 0.000 0.000 0.000
```

SG   I4/mmm (139)

Here is a relaxed Li7TmPb4 crystal from Alexandria via LeMat-Bulk. Energies are from GGA-PBE.

The structure in extended XYZ format:
```
12
Lattice="-3.235 -3.703 -1.398 0.022 -5.935 6.326 -6.354 0.997 2.715" Properties=species:S:1:pos:R:3 pbc="T T T"
Li -5.980 -7.606 5.948
Li -7.941 -4.839 3.155
Li -3.587 -1.035 1.695
Li -5.755 -3.996 5.211
Li -1.617 -1.852 -0.699
Li -3.813 -4.644 2.433
Li -1.626 -3.802 4.489
Pb -8.071 -5.751 5.873
Pb -1.496 -2.890 1.771
Pb -5.943 -2.708 2.233
Pb -3.624 -5.933 5.410
Tm 0.000 0.000 0.000
```

Energy relative to the elements   -0.132 eV/atom
SG   C2/m (12)

Here is a relaxed LaSmNiCl crystal from Alexandria via LeMat-Bulk. Energies are from GGA-PBE.

The structure in extended XYZ format:
```
4
Lattice="3.992 -0.001 -0.001 -1.996 3.459 0.000 -1.996 -1.152 7.624" Properties=species:S:1:pos:R:3 pbc="T T T"
Cl 2.373 0.900 2.720
Sm -1.620 3.205 0.570
Ni -1.620 0.900 6.656
La 0.377 -0.252 5.069
```

SG   R3m (160)

Here is a relaxed KRuBr2 crystal from Alexandria via LeMat-Bulk. Energies are from GGA-PBE.

The structure in extended XYZ format:
```
4
Lattice="5.310 -0.009 -0.043 0.003 5.310 -0.043 0.038 0.037 3.565" Properties=species:S:1:pos:R:3 pbc="T T T"
Br 2.656 2.650 -0.043
Br 0.000 0.000 0.000
Ru 0.020 2.674 1.761
K 2.674 0.014 1.761
```

Relative energy among the computed polymorphs   267 meV/atom
SG   C2/m (12)

Computed final energy, in the same sequence as the records: -0.26299, -0.23263, -0.44752, -0.23437, -0.31019, -0.75740, -0.45996, -0.34095, -0.20998, -0.38523, -0.25374 Ry per atom.